(1)
## Er5OsRh2 (PBE-GGA)

Data for an optimized crystal structure of Er5OsRh2.

Cell lengths 4.2759, 7.3398, 11.8696 Å; angles 90.00, 90.00, 90.00 degrees
Fractional positions:
1 Er 0.0000 0.0000 0.5000
2 Os 0.0000 0.0000 0.0000
3 Rh 0.5000 0.9541 0.6653
4 Rh 0.5000 0.5459 0.1653
5 Rh 0.5000 0.0459 0.3347
6 Er 0.5000 0.3243 0.5924
7 Er 0.5000 0.6757 0.4076
8 Rh 0.5000 0.4541 0.8347
9 Os 0.0000 0.5000 0.5000
10 Er 0.0000 0.5000 0.0000
11 Er 0.0000 0.3377 0.2940
12 Er 0.5000 0.1757 0.0924
13 Er 0.5000 0.8243 0.9076
14 Er 0.0000 0.1623 0.7940
15 Er 0.0000 0.6623 0.7060
16 Er 0.0000 0.8377 0.2060

## Properties
VASP energy	-6.6579	eV/atom
density	10.987	g cm⁻³

***

(2)
## Er8Os2Rh (PBE-GGA)

Data for an optimized crystal structure of Er8Os2Rh.

Cell lengths 5.6920, 7.5022, 7.5022 Å; angles 112.23, 100.15, 100.15 degrees
Fractional positions:
1 Rh 0.0708 0.0016 0.0016
2 Er 0.5886 0.0773 0.3374
3 Er 0.3922 0.6691 0.9290
4 Os 0.4958 0.6937 0.3158
5 Er 0.9931 0.7851 0.2184
6 Er 0.8027 0.6404 0.6404
7 Er 0.9931 0.2184 0.7851
8 Er 0.1867 0.3661 0.3661
9 Er 0.5886 0.3374 0.0773
10 Os 0.4958 0.3158 0.6937
11 Er 0.3922 0.9290 0.6691

## Properties
VASP energy	-6.3278	eV/atom
excess energy over the best structure of this formula in the dataset	51.2	meV/atom
density	10.750	g cm⁻³

***

(3)
## Er4OsRh (PBE-GGA)

Data for an optimized crystal structure of Er4OsRh.

Cell lengths 6.2470, 7.4940, 7.8008 Å; angles 114.34, 108.58, 99.81 degrees
Fractional positions:
1 Rh 0.3867 0.6367 0.2733
2 Er 0.7928 0.6966 0.6496
3 Er 0.0052 0.2400 0.8742
4 Os 0.2501 0.0001 0.0002
5 Er 0.9948 0.7600 0.1258
6 Rh 0.6133 0.3633 0.7267
7 Er 0.2072 0.3034 0.3504
8 Er 0.6432 0.0470 0.3504
9 Er 0.6310 0.3658 0.1258
10 Er 0.3690 0.6342 0.8742
11 Er 0.3568 0.9530 0.6496
12 Os 0.7499 0.9999 0.9998

## Properties
VASP energy	-6.6505	eV/atom
excess energy over the best structure of this formula in the dataset	0.0	meV/atom
density	10.812	g cm⁻³

***

(4)
## Er6Os2Rh (PBE-GGA)

Data for an optimized crystal structure of Er6Os2Rh.

Cell lengths 6.5912, 7.3298, 9.2018 Å; angles 90.00, 87.50, 90.00 degrees
Fractional positions:
1 Os 0.5352 0.8681 0.7694
2 Er 0.3275 0.8301 0.0711
3 Er 0.8355 0.9597 0.2378
4 Er 0.8514 0.6691 0.9324
5 Os 0.0352 0.6319 0.2694
6 Os 0.4648 0.1319 0.2306
7 Rh 0.5000 0.5000 0.0000
8 Er 0.1645 0.0403 0.7622
9 Er 0.1486 0.3309 0.0676
10 Os 0.9648 0.3681 0.7306
11 Er 0.8275 0.6699 0.5711
12 Er 0.1725 0.3301 0.4289
13 Er 0.3355 0.5403 0.7378
14 Rh 0.0000 0.0000 0.5000
15 Er 0.3514 0.8309 0.4324
16 Er 0.6725 0.1699 0.9289
17 Er 0.6645 0.4597 0.2622
18 Er 0.6486 0.1691 0.5676

## Properties
VASP energy	-6.7053	eV/atom
density	11.119	g cm⁻³

***

no.,formation energy (meV/atom)
1,-564.6
2,-299.3
3,-511.7
4,-351.0